[1]
4
Lattice="-3.769 -0.287 -1.385 -1.042 -2.106 3.272 1.291 5.177 1.264" Properties=species:S:1:pos:R:3 comment="CdIn2Mo (GGA-PBEsol, relaxed)" spacegroup="No. 119" delta_e_f_ev_per_fu=1.00 volume_a3_per_cell=76.0 pbc="T T T"
Cd -1.078 0.937 2.740
In 0.000 0.001 0.000
In -2.442 1.847 0.412
Mo -1.114 3.980 2.207

[2]
4
Lattice="-2.136 -0.256 -1.849 -1.869 -3.227 2.606 -2.232 3.849 3.166" Properties=species:S:1:pos:R:3 comment="CdInMo2 (GGA-PBEsol, relaxed)" spacegroup="No. 6" de_polymorph_mev_per_atom=55.1 delta_e_f_ev_per_fu=1.39 volume_a3_per_cell=69.8 pbc="T T T"
Cd -2.027 1.767 0.735
In -3.287 1.234 3.142
Mo -2.063 -0.189 -1.713
Mo -3.179 -0.906 0.569

[3]
5
Lattice="-1.744 0.936 -3.637 -3.314 -2.271 1.005 -1.779 3.356 1.717" Properties=species:S:1:pos:R:3 comment="CdInNO2 (GGA-PBEsol, relaxed)" formation_energy_uncorrected_mev_per_atom=245 spacegroup="No. 123" volume_a3_per_cell=71.5 pbc="T T T"
N -0.890 1.678 0.858
Cd -3.418 1.010 -0.458
O -1.657 -1.135 0.502
O -0.872 0.468 -1.819
In 0.000 0.000 0.000

[4]
10
Lattice="-0.230 -0.546 4.553 -3.719 -6.456 -0.962 6.517 -3.736 -0.119" Properties=species:S:1:pos:R:3 comment="Na2Cd2In (GGA-PBEsol, relaxed)" spacegroup="No. 127" delta_e_f_ev_per_fu=-0.19 volume_a3_per_cell=259.1 pbc="T T T"
Na 3.621 -3.880 2.033
Na 2.796 -7.701 1.533
Na -1.053 -6.858 1.440
Na -0.228 -3.037 1.939
Cd 4.285 -5.609 -0.456
Cd 0.900 -7.962 -0.909
Cd -1.487 -4.583 -0.625
Cd 1.897 -2.230 -0.172
In 0.000 0.000 0.000
In 1.399 -5.096 -0.540

[5]
4
Lattice="-3.338 1.477 -3.711 -4.263 -2.833 -0.944 -4.690 1.843 1.302" Properties=species:S:1:pos:R:3 comment="Na2CdIn (GGA-PBEsol, relaxed)" spacegroup="No. 225" delta_e_f_ev_per_fu=-0.07 volume_a3_per_cell=99.7 pbc="T T T"
Na -3.073 0.122 -0.838
Na -9.219 0.366 -2.514
In -6.146 0.244 -1.676
Cd 0.000 0.000 0.000

[6]
4
Lattice="5.375 0.000 0.000 2.688 4.655 0.000 2.688 1.552 4.389" Properties=species:S:1:pos:R:3 comment="Nd2CdIn (GGA-PBEsol, relaxed)" spacegroup="No. 225" delta_e_f_ev_per_fu=-1.76 volume_a3_per_cell=109.8 pbc="T T T"
Cd 5.375 3.103 2.194
Nd 2.688 1.552 1.097
Nd 8.063 4.655 3.292
In 0.000 0.000 0.000

[7]
4
Lattice="-3.209 2.111 1.622 0.080 -2.463 3.363 4.162 2.733 -0.681" Properties=species:S:1:pos:R:3 comment="Cd2InNi (GGA-PBEsol, relaxed)" spacegroup="No. 119" delta_e_f_ev_per_fu=0.34 volume_a3_per_cell=70.7 pbc="T T T"
Cd 0.000 0.000 0.000
Cd -0.306 2.333 1.717
In -1.564 -0.176 2.492
Ni 1.339 0.046 2.587

[8]
5
Lattice="-1.621 1.094 -4.500 -4.186 -2.385 0.928 -1.980 4.146 1.721" Properties=species:S:1:pos:R:3 comment="CdIn3Ni (GGA-PBEsol, relaxed)" spacegroup="No. 221" delta_e_f_ev_per_fu=0.07 volume_a3_per_cell=118.1 pbc="T T T"
Ni 0.000 0.000 0.000
Cd -3.894 1.428 -0.925
In -2.093 -1.192 0.464
In -0.990 2.073 0.861
In -0.811 0.547 -2.250

[9]
4
Lattice="2.894 0.000 0.000 0.000 4.424 0.000 -1.447 -2.212 6.067" Properties=species:S:1:pos:R:3 comment="Cd2InNi (GGA-PBEsol, relaxed)" spacegroup="No. 44" delta_e_f_ev_per_fu=-0.03 volume_a3_per_cell=77.7 pbc="T T T"
Ni 1.447 2.212 3.078
Cd 0.000 2.212 0.826
Cd 0.000 0.000 2.969
In 0.000 2.212 5.261

[10]
4
Lattice="4.063 0.000 0.000 0.000 4.063 0.000 0.000 0.000 4.282" Properties=species:S:1:pos:R:3 comment="Cd2InNi (GGA-PBEsol, relaxed)" spacegroup="No. 123" delta_e_f_ev_per_fu=0.36 volume_a3_per_cell=70.7 pbc="T T T"
Cd 0.000 2.031 0.000
Cd 2.031 0.000 0.000
In 2.031 2.031 2.141
Ni 0.000 0.000 2.141

[11]
4
Lattice="-0.288 2.706 -0.995 -4.154 0.011 1.231 3.838 0.811 5.315" Properties=species:S:1:pos:R:3 comment="Cd2InNi (GGA-PBEsol, relaxed)" spacegroup="No. 71" delta_e_f_ev_per_fu=-0.23 volume_a3_per_cell=76.2 pbc="T T T"
Ni -2.077 0.006 0.616
Cd -1.611 2.174 2.161
Cd 1.008 1.354 3.390
In -0.144 1.353 -0.497

[12]
14
Lattice="-3.379 5.294 -1.712 -6.485 0.045 0.562 -2.846 3.663 4.567" Properties=species:S:1:pos:R:3 comment="CdIn2O4 (GGA-PBEsol, relaxed)" formation_energy_uncorrected_mev_per_atom=-1471 spacegroup="No. 227" de_polymorph_mev_per_atom=0.0 volume_a3_per_cell=195.1 pbc="T T T"
Cd 0.000 0.000 0.000
Cd -3.178 2.251 0.854
In -4.701 5.604 1.855
In -6.521 3.795 -0.148
In -7.944 5.626 2.136
In -6.255 2.979 2.992
O -6.207 5.134 3.373
O -8.050 7.740 2.694
O -9.443 5.387 3.713
O -10.957 7.761 2.946
O -6.445 5.866 0.558
O -4.931 3.492 1.325
O -9.681 6.118 0.898
O -7.838 3.512 1.577

| no. | theoretical density (kg/m3) |
| --- | --- |
| 1 | 9569 |
| 2 | 9966 |
| 3 | 6349 |
| 4 | 4942 |
| 5 | 4550 |
| 6 | 7799 |
| 7 | 9351 |
| 8 | 7248 |
| 9 | 8516 |
| 10 | 9358 |
| 11 | 8681 |
| 12 | 6913 |